{
  "formula": "Na2GaPt3",
  "functional": "PBE-GGA",
  "state": "relaxed",
  "e_form_mev_per_atom": -507,
  "magnetic_moment_mub_per_atom": 0.000,
  "spacegroup": "R-3m, No. 166",
  "crystal_system": "trigonal",
  "lattice": [[-4.2736, 1.0971, -2.7374], [-3.1878, -3.9876, -0.9474], [-4.4697, -0.0243, 2.6423]],
  "species": ["Na", "Na", "Ga", "Pt", "Pt", "Pt"],
  "frac_coords": [[0.3792, 0.3792, 0.3792], [0.6208, 0.6208, 0.6208], [0.0000, 0.0000, 0.0000], [0.0000, 0.0000, 0.5000], [0.5000, 0.0000, 0.0000], [0.0000, 0.5000, 0.0000]]
}